(1)
# TlCd2Ru

A relaxed TlCd2Ru crystal (PBE, Alexandria).

Calculated values
E above lowest polymorph	299	meV per atom
Fermi-level density of states	2.67	states/eV/cell

Lattice parameters (Å, degrees): 4.8546 4.8546 4.8546 60.00 60.00 60.00
With the nearest neighbours (Å) after each atom.
Sites, in units of the cell vectors:
Ru (0.0000, 0.0000, 0.0000)  8 Cd 2.97
Cd (0.2500, 0.2500, 0.2500)  4 Tl 2.97, 4 Ru 2.97
Cd (0.7500, 0.7500, 0.7500)  4 Tl 2.97, 4 Ru 2.97
Tl (0.5000, 0.5000, 0.5000)  8 Cd 2.97

---

(2)
# Tl2CdRu

A relaxed Tl2CdRu crystal (PBE, Alexandria).

Calculated values
E above lowest polymorph	109	meV per atom
Fermi-level density of states	5.04	states/eV/cell

Lattice parameters (Å, degrees): 10.2814 10.2814 7.7460 48.42 48.42 90.00
With the nearest neighbours (Å) after each atom.
Sites, in units of the cell vectors:
Ru (0.5000, 0.5000, 0.0000)  4 Tl 2.66, 2 Cd 2.67
Cd (0.0000, 0.0000, 0.0000)  2 Ru 2.67
Ru (0.2500, 0.7500, 0.5000)  4 Tl 2.66, 2 Cd 2.67
Tl (0.3750, 0.6253, 0.7500)  2 Ru 2.66
Cd (0.7500, 0.2500, 0.5000)  2 Ru 2.67
Tl (0.3747, 0.1250, 0.2500)  2 Ru 2.66
Tl (0.3753, 0.6250, 0.2500)  2 Ru 2.66
Tl (0.8750, 0.6247, 0.7500)  2 Ru 2.66

---

(3)
# Tl2CdRu

A relaxed Tl2CdRu crystal (PBE, Alexandria).

Calculated values
E above lowest polymorph	248	meV per atom
Fermi-level density of states	3.35	states/eV/cell

Lattice parameters (Å, degrees): 3.3568 5.0161 5.0161 90.00 90.00 90.00
With the nearest neighbours (Å) after each atom.
Sites, in units of the cell vectors:
Ru (0.5000, 0.0000, 0.5000)  8 Tl 3.02, 2 Ru 3.36
Cd (0.5000, 0.5000, 0.0000)  8 Tl 3.02, 2 Cd 3.36
Tl (0.0000, 0.5000, 0.5000)  4 Cd 3.02, 4 Ru 3.02, 2 Tl 3.36
Tl (0.0000, 0.0000, 0.0000)  4 Cd 3.02, 4 Ru 3.02, 2 Tl 3.36

---

E_form: 0.5342, 0.4055, 0.5448 (eV/atom)
Calculated total energy: -2.8338, -3.3254, -3.1861 (eV/atom)